Entry 1:
VASP calculation (PBE) on a relaxed structure of Ca3PmY2Se6.

a b c (Å): 7.1561 7.1561 7.2781
angles (deg): 99.47 99.47 119.94
Last column: nearest neighbours and their distance in Å.
Fractional coordinates of all 12 atoms:
Ca  0.0000  0.0000  0.0000  6 Se 2.91-2.96
Ca  0.3351  0.6649  0.0000  6 Se 2.92-2.96
Ca  0.6649  0.3351  0.0000  6 Se 2.92-2.96
Pm  0.5000  0.5000  0.5000  6 Se 2.97
Y  0.1672  0.8328  0.5000  6 Se 2.91-2.92
Y  0.8328  0.1672  0.5000  6 Se 2.91-2.92
Se  0.0776  0.4168  0.2508  2 Y 2.91-2.92, 3 Ca 2.92-2.96, 1 Pm 2.97
Se  0.2434  0.2434  0.7483  3 Ca 2.91-2.95, 2 Y 2.92, 1 Pm 2.97
Se  0.4168  0.0776  0.2508  2 Y 2.91-2.92, 3 Ca 2.92-2.96, 1 Pm 2.97
Se  0.5832  0.9224  0.7492  2 Y 2.91-2.92, 3 Ca 2.92-2.96, 1 Pm 2.97
Se  0.7566  0.7566  0.2517  3 Ca 2.91-2.95, 2 Y 2.92, 1 Pm 2.97
Se  0.9224  0.5832  0.7492  2 Y 2.91-2.92, 3 Ca 2.92-2.96, 1 Pm 2.97

Crystal system: monoclinic
Formation energy (no corrections) in eV per atom: -1.8909

Entry 2:
VASP calculation (PBE) on a relaxed structure of DyTh2Ru.

a b c (Å): 6.1822 6.1822 9.8584
angles (deg): 90.00 90.00 143.73
Last column: nearest neighbours and their distance in Å.
Fractional coordinates of all 8 atoms:
Dy  0.0812  0.9188  0.7500  3 Ru 3.16-3.37
Dy  0.9188  0.0812  0.2500  3 Ru 3.16-3.37
Th  0.3606  0.6394  0.5639  2 Ru 2.77
Th  0.3606  0.6394  0.9361  2 Ru 2.77
Th  0.6394  0.3606  0.0639  2 Ru 2.77
Th  0.6394  0.3606  0.4361  2 Ru 2.77
Ru  0.2057  0.7943  0.2500  4 Th 2.77
Ru  0.7943  0.2057  0.7500  4 Th 2.77

Crystal system: orthorhombic
ΔH_f (0 K) in eV/atom: -0.293
Energy above the most stable polymorph in this dataset in eV/f.u.: 0.04

Entry 3:
VASP calculation (PBE) on a relaxed structure of NdGaCo4.

a b c (Å): 8.7109 8.7109 4.0263
angles (deg): 90.00 90.00 120.00
Last column: nearest neighbours and their distance in Å.
Fractional coordinates of all 18 atoms:
Nd  0.0000  0.0000  0.0000  18 Co 2.83-3.15
Nd  0.3333  0.6667  0.0000  12 Co 2.94-3.29, 6 Ga 3.22
Nd  0.6667  0.3333  0.0000  12 Co 2.94-3.29, 6 Ga 3.22
Ga  0.0000  0.5000  0.5000  8 Co 2.53-2.56
Ga  0.5000  0.0000  0.5000  8 Co 2.53-2.56
Ga  0.5000  0.5000  0.5000  8 Co 2.53-2.56
Co  0.0000  0.3247  0.0000  4 Co 2.46, 2 Ga 2.53
Co  0.0000  0.6753  0.0000  4 Co 2.46, 2 Ga 2.53
Co  0.1606  0.3213  0.5000  6 Co 2.42-2.46, 2 Ga 2.56
Co  0.1606  0.8394  0.5000  6 Co 2.42-2.46, 2 Ga 2.56
Co  0.3213  0.1606  0.5000  6 Co 2.42-2.46, 2 Ga 2.56
Co  0.3247  0.0000  0.0000  4 Co 2.46, 2 Ga 2.53
Co  0.3247  0.3247  0.0000  4 Co 2.46, 2 Ga 2.53
Co  0.6753  0.0000  0.0000  4 Co 2.46, 2 Ga 2.53
Co  0.6753  0.6753  0.0000  4 Co 2.46, 2 Ga 2.53
Co  0.6787  0.8394  0.5000  6 Co 2.42-2.46, 2 Ga 2.56
Co  0.8394  0.1606  0.5000  6 Co 2.42-2.46, 2 Ga 2.56
Co  0.8394  0.6787  0.5000  6 Co 2.42-2.46, 2 Ga 2.56

Crystal system: hexagonal
ΔH_f (0 K) in eV/atom: -0.196
Energy above the most stable polymorph in this dataset in eV/f.u.: 0.00

Entry 4:
VASP calculation (PBE) on a relaxed structure of Mg2ZnSe9.

a b c (Å): 7.8827 7.8827 5.8952
angles (deg): 104.18 104.18 56.15
Last column: nearest neighbours and their distance in Å.
Fractional coordinates of all 12 atoms:
Mg  0.1648  0.1648  0.0323  4 Se 2.58-2.70
Mg  0.8352  0.8352  0.9677  4 Se 2.58-2.70
Zn  0.0000  0.0000  0.5000  6 Se 2.59-2.64
Se  0.1365  0.6807  0.6992  1 Zn 2.59, 2 Se 2.59-2.75, 1 Mg 2.70
Se  0.1970  0.1970  0.6019  2 Se 2.59, 1 Zn 2.64, 1 Mg 2.70
Se  0.3193  0.8635  0.3008  1 Zn 2.59, 2 Se 2.59-2.75, 1 Mg 2.70
Se  0.3564  0.3564  0.2140  1 Mg 2.58, 1 Se 2.64
Se  0.5000  0.5000  0.0000  6 Se 2.64-2.75
Se  0.6436  0.6436  0.7860  1 Mg 2.58, 1 Se 2.64
Se  0.6807  0.1365  0.6992  1 Zn 2.59, 2 Se 2.59-2.75, 1 Mg 2.70
Se  0.8030  0.8030  0.3981  2 Se 2.59, 1 Zn 2.64, 1 Mg 2.70
Se  0.8635  0.3193  0.3008  1 Zn 2.59, 2 Se 2.59-2.75, 1 Mg 2.70

Crystal system: monoclinic
Formation energy (no corrections) in eV per atom: -0.1480

Entry 5:
VASP calculation (PBE) on a relaxed structure of ThPPt.

a b c (Å): 5.0962 5.0962 5.0962
angles (deg): 134.47 134.47 66.35
Last column: nearest neighbours and their distance in Å.
Fractional coordinates of all 3 atoms:
Th  0.0000  0.0000  0.0000  5 Pt 2.96-3.08, 5 P 3.02-3.10
P  0.6369  0.6369  0.0000  1 Pt 2.47
Pt  0.3468  0.3468  0.0000  1 P 2.47

Crystal system: tetragonal
ΔH_f (0 K) in eV/atom: -0.863

Entry 6:
VASP calculation (PBE) on a relaxed structure of DyScFe.

a b c (Å): 6.5145 6.5145 6.5145
angles (deg): 151.39 151.39 40.91
Last column: nearest neighbours and their distance in Å.
Fractional coordinates of all 3 atoms:
Dy  0.0000  0.0000  0.0000  4 Fe 2.84, 1 Sc 3.11
Sc  0.2548  0.2548  0.0000  4 Fe 2.68
Fe  0.6385  0.6385  0.0000  4 Sc 2.68, 4 Dy 2.84

Crystal system: tetragonal
ΔH_f (0 K) in eV/atom: -0.017